The following is a DFT calculation (PBE) of CrBP2Cl after structural relaxation.

Properties
Fermi-level density of states in states/eV/f.u.: 3.92
Raw total energy in eV/atom: -4.704
E_form (uncorrected) in meV per atom: 1090

Lattice parameters (Å, degrees): 4.319 4.319 5.100 90.00 90.00 90.00
Atoms (fractional coordinates):
Cr1 0.000 0.000 0.000
Cl1 0.000 0.000 0.500
B1 0.500 0.500 0.500
P1 0.500 0.000 0.000
P2 0.000 0.500 0.000